Entry 1:
# Pr8HoEr5

Crystalline Pr8HoEr5 at its relaxed geometry (PBE, Alexandria).

- Space group: I-4
- Total magnetization: 0.000 μB per atom
- Formation energy from the elements: 0.25 eV/atom
- Crystal system: tetragonal

a = 8.609 Å, b = 8.609 Å, c = 8.609 Å
α = 111.08°, β = 111.08°, γ = 106.30°
Atoms (fractional coordinates):
Pr1 0.176 0.407 0.589
Pr2 0.328 0.224 0.239
Pr3 0.413 0.824 0.231
Pr4 0.593 0.182 0.769
Pr5 0.776 0.015 0.104
Pr6 0.818 0.587 0.411
Pr7 0.911 0.672 0.896
Pr8 0.985 0.089 0.761
Ho1 0.500 0.500 0.000
Er1 0.068 0.474 0.190
Er2 0.121 0.932 0.405
Er3 0.284 0.879 0.810
Er4 0.526 0.716 0.595
Er5 0.750 0.250 0.500

***

Entry 2:
# SrTa2Ag

Crystalline SrTa2Ag at its relaxed geometry (PBE, Alexandria).

- Space group: P4mm
- Total magnetization: 0.000 μB per atom
- Formation energy from the elements: 0.52 eV/atom
- Excess energy over the best structure of this formula in the dataset: 0.38 eV/f.u.
- Crystal system: tetragonal

a = 2.946 Å, b = 2.946 Å, c = 9.983 Å
α = 90.00°, β = 90.00°, γ = 90.00°
Atoms (fractional coordinates):
Sr1 0.000 0.000 0.000
Ta1 0.000 0.000 0.517
Ta2 0.500 0.500 0.301
Ag1 0.500 0.500 0.733

***

Entry 3:
# KTl3Hg2

Crystalline KTl3Hg2 at its relaxed geometry (PBE, Alexandria).

- Space group: C2/m
- Total magnetization: 0.000 μB per atom
- Formation energy from the elements: -0.11 eV/atom
- Excess energy over the best structure of this formula in the dataset: 0.00 eV/f.u.
- Crystal system: monoclinic

a = 8.858 Å, b = 8.858 Å, c = 10.000 Å
α = 113.12°, β = 113.12°, γ = 33.84°
Atoms (fractional coordinates):
K1 0.142 0.142 0.077
K2 0.858 0.858 0.923
Tl1 0.048 0.048 0.377
Tl2 0.303 0.303 0.580
Tl3 0.403 0.403 0.356
Tl4 0.597 0.597 0.644
Tl5 0.697 0.697 0.420
Tl6 0.952 0.952 0.623
Hg1 0.202 0.202 0.781
Hg2 0.493 0.493 0.847
Hg3 0.507 0.507 0.153
Hg4 0.798 0.798 0.219

***

Entry 4:
# Cd2FeAsI

Crystalline Cd2FeAsI at its relaxed geometry (PBE, Alexandria).

- Space group: P4/mmm
- Total magnetization: 0.746 μB per atom
- Crystal system: tetragonal
- ΔE_f (raw): 83.88 kJ per mole of atoms

a = 5.346 Å, b = 5.346 Å, c = 5.652 Å
α = 90.00°, β = 90.00°, γ = 90.00°
Atoms (fractional coordinates):
Cd1 0.000 0.500 0.000
Cd2 0.500 0.000 0.000
Fe1 0.000 0.000 0.500
As1 0.500 0.500 0.000
I1 0.500 0.500 0.500

***

Entry 5:
# CrSb2P

Crystalline CrSb2P at its relaxed geometry (PBE, Alexandria).

- Space group: P4/mmm
- Total magnetization: 0.930 μB per atom
- Crystal system: tetragonal
- ΔE_f (raw): 43.94 kJ per mole of atoms

a = 4.922 Å, b = 4.922 Å, c = 3.419 Å
α = 90.00°, β = 90.00°, γ = 90.00°
Atoms (fractional coordinates):
Cr1 0.000 0.000 0.000
Sb1 0.000 0.500 0.500
Sb2 0.500 0.000 0.500
P1 0.500 0.500 0.000

***

Entry 6:
# SrHf2ZnPd

Crystalline SrHf2ZnPd at its relaxed geometry (PBE, Alexandria).

- Space group: P4/mmm
- Total magnetization: 0.106 μB per atom
- Formation energy from the elements: 0.33 eV/atom
- Crystal system: tetragonal

a = 5.121 Å, b = 5.121 Å, c = 5.022 Å
α = 90.00°, β = 90.00°, γ = 90.00°
Atoms (fractional coordinates):
Sr1 0.000 0.000 0.000
Hf1 0.000 0.500 0.500
Hf2 0.500 0.000 0.500
Zn1 0.500 0.500 0.000
Pd1 0.500 0.500 0.500

***

Entry 7:
# Ni2MoPd

Crystalline Ni2MoPd at its relaxed geometry (PBE, Alexandria).

- Space group: P4/mmm
- Total magnetization: 0.487 μB per atom
- Formation energy from the elements: 0.12 eV/atom
- Excess energy over the best structure of this formula in the dataset: 0.54 eV/f.u.
- Crystal system: tetragonal

a = 3.848 Å, b = 3.848 Å, c = 3.587 Å
α = 90.00°, β = 90.00°, γ = 90.00°
Atoms (fractional coordinates):
Ni1 0.000 0.500 0.000
Ni2 0.500 0.000 0.000
Mo1 0.000 0.000 0.500
Pd1 0.500 0.500 0.500

***

Entry 8:
# LiNdSn2Pd

Crystalline LiNdSn2Pd at its relaxed geometry (PBE, Alexandria).

- Space group: I-4m2
- Total magnetization: 0.000 μB per atom
- Formation energy from the elements: -0.67 eV/atom
- Crystal system: tetragonal

a = 6.611 Å, b = 6.611 Å, c = 6.611 Å
α = 141.00°, β = 141.00°, γ = 56.34°
Atoms (fractional coordinates):
Li1 0.000 0.000 0.000
Nd1 0.250 0.750 0.500
Sn1 0.629 0.129 0.500
Sn2 0.871 0.371 0.500
Pd1 0.500 0.500 0.000